# 1
Below is crystalline PmHoCdGa at its relaxed geometry, with properties calculated at the PBE-GGA level.

Unit cell a=3.6487 b=3.6487 c=7.5813 alpha=90.00 beta=90.00 gamma=90.00
Closest atoms and distances in Å follow each position.
Space group P4mm (No. 99)
Unique sites:
Pm (0.0000, 0.0000, 0.0000) [1 per cell]  4 Ga 3.18, 4 Cd 3.34, 1 Ho 3.54
Ho (0.0000, 0.0000, 0.5325) [1 per cell]  4 Ga 3.08, 4 Cd 3.21
Cd (0.5000, 0.5000, 0.2805) [1 per cell]  4 Ho 3.21, 4 Pm 3.34
Ga (0.5000, 0.5000, 0.7549) [1 per cell]  4 Ho 3.08, 4 Pm 3.18

***

# 2
Below is crystalline KNbAlCo2 at its relaxed geometry, with properties calculated at the PBE-GGA level.

Unit cell a=4.4937 b=4.4937 c=5.1118 alpha=90.00 beta=90.00 gamma=90.00
Closest atoms and distances in Å follow each position.
Space group P4/mmm (No. 123)
Unique sites:
K (0.0000, 0.0000, 0.0000) [1 per cell]  2 Al 2.56
Nb (0.5000, 0.5000, 0.0000) [1 per cell]  4 K 3.18, 8 Co 3.40
Al (0.0000, 0.0000, 0.5000) [1 per cell]  4 Co 2.25
Co (0.0000, 0.5000, 0.5000) [2 per cell]  2 Al 2.25

***

# 3
Below is crystalline BeAl4Te at its relaxed geometry, with properties calculated at the PBE-GGA level.

Results
* formation energy without anion corrections: 0.48 eV/atom

Unit cell a=7.6370 b=7.6370 c=7.6370 alpha=90.00 beta=90.00 gamma=90.00
Closest atoms and distances in Å follow each position.
Space group F-43m (No. 216)
Unique sites:
Be (0.0000, 0.0000, 0.0000) [4 per cell]  12 Al 3.16, 4 Te 3.31
Al (0.1262, 0.1262, 0.6262) [16 per cell]  6 Al 2.67-2.73
Te (0.2500, 0.2500, 0.2500) [4 per cell]  12 Al 3.17, 4 Be 3.31

***

# 4
Below is crystalline NaNbI2N at its relaxed geometry, with properties calculated at the PBE-GGA level.

Results
* formation energy without anion corrections: -0.35 eV/atom

Unit cell a=5.8870 b=5.8870 c=3.9806 alpha=90.00 beta=90.00 gamma=90.00
Closest atoms and distances in Å follow each position.
Space group P4/mmm (No. 123)
Unique sites:
Na (0.0000, 0.0000, 0.0000) [1 per cell]  8 I 3.55
Nb (0.5000, 0.5000, 0.5000) [1 per cell]  2 N 1.99
I (0.0000, 0.5000, 0.5000) [2 per cell]  2 Nb 2.94
N (0.5000, 0.5000, 0.0000) [1 per cell]  2 Nb 1.99

***

The records above give, respectively, E_tot values of -15.09; -21.06; -75.95; -24.59 eV/cell.